VASP calculation (GGA-PBE) on a relaxed structure of Pr3Pd4Pb.

Electronic total energy in eV per cell: -43.64
Size of the total moment in μB/f.u.: 0.00

The structure in POSCAR format:
```
Pr3Pd4Pb
1.0
-1.975 3.421 7.560
1.975 -3.421 7.560
1.975 3.421 -7.560
Pr Pd Pb
3 4 1
direct
0.000 0.000 0.000
0.310 0.810 0.500
0.690 0.190 0.500
0.067 0.371 0.697
0.326 0.629 0.697
0.674 0.371 0.303
0.933 0.629 0.303
0.500 0.500 0.000
```